1.
The following is a PBE calculation of an optimized crystal structure of BHPt, from the Alexandria database.

Cell and atoms, written as POSCAR:
```
BHPt
1.0
8.320 0.000 0.000
0.000 8.320 0.000
0.000 0.000 2.740
B H Pt
4 4 4
Direct
0.000 0.397 0.000 B
0.000 0.603 0.000 B
0.397 0.000 0.500 B
0.603 0.000 0.500 B
0.121 0.500 0.000 H
0.500 0.121 0.500 H
0.500 0.879 0.500 H
0.879 0.500 0.000 H
0.000 0.212 0.500 Pt
0.000 0.788 0.500 Pt
0.212 0.000 0.000 Pt
0.788 0.000 0.000 Pt
```

Computed properties:
* symmetry: P4_2/mmc
* D(E_F): 1.124 states/eV/f.u.

---

2.
The following is a PBE calculation of an optimized crystal structure of B5HPt12, from the Alexandria database.

Cell and atoms, written as POSCAR:
```
B5HPt12
1.0
5.612 0.000 0.000
2.806 5.041 0.000
1.015 1.679 8.369
B H Pt
5 1 12
Direct
0.000 0.000 0.000 B
0.008 0.484 0.579 B
0.320 0.353 0.004 B
0.329 0.848 0.481 B
0.647 0.227 0.396 B
0.680 0.650 0.874 H
0.011 0.375 0.846 Pt
0.022 0.232 0.364 Pt
0.272 0.586 0.358 Pt
0.335 0.970 0.114 Pt
0.342 0.718 0.866 Pt
0.376 0.116 0.608 Pt
0.642 0.462 0.598 Pt
0.652 0.097 0.867 Pt
0.668 0.301 0.131 Pt
0.682 0.862 0.361 Pt
0.957 0.641 0.099 Pt
0.988 0.838 0.620 Pt
```

Computed properties:
* symmetry: P1
* D(E_F): 5.877 states/eV/f.u.

---

3.
The following is a PBE calculation of an optimized crystal structure of B2HPt, from the Alexandria database.

Cell and atoms, written as POSCAR:
```
B2HPt
1.0
5.183 0.000 0.000
0.000 5.183 0.000
0.000 0.000 5.183
B H Pt
8 4 4
Direct
0.250 0.250 0.250 B
0.250 0.250 0.750 B
0.250 0.750 0.250 B
0.250 0.750 0.750 B
0.750 0.250 0.250 B
0.750 0.250 0.750 B
0.750 0.750 0.250 B
0.750 0.750 0.750 B
0.000 0.000 0.000 H
0.000 0.500 0.500 H
0.500 0.000 0.500 H
0.500 0.500 0.000 H
0.000 0.000 0.500 Pt
0.000 0.500 0.000 Pt
0.500 0.000 0.000 Pt
0.500 0.500 0.500 Pt
```

Computed properties:
* symmetry: Fm-3m
* D(E_F): 1.675 states/eV/f.u.

---

4.
The following is a PBE calculation of an optimized crystal structure of BH3Pt, from the Alexandria database.

Cell and atoms, written as POSCAR:
```
BH3Pt
1.0
3.234 0.000 0.000
0.000 3.234 0.000
0.000 0.000 3.234
B H Pt
1 3 1
Direct
0.000 0.000 0.000 B
0.000 0.000 0.500 H
0.000 0.500 0.000 H
0.500 0.000 0.000 H
0.500 0.500 0.500 Pt
```

Computed properties:
* symmetry: Pm-3m
* D(E_F): 0.770 states/eV/f.u.

---

5.
The following is a PBE calculation of an optimized crystal structure of BHPt3, from the Alexandria database.

Cell and atoms, written as POSCAR:
```
BHPt3
1.0
4.131 0.000 0.000
0.000 4.131 0.000
0.000 0.000 4.131
B H Pt
1 1 3
Direct
0.000 0.000 0.000 B
0.500 0.500 0.500 H
0.000 0.000 0.500 Pt
0.000 0.500 0.000 Pt
0.500 0.000 0.000 Pt
```

Computed properties:
* symmetry: Pm-3m
* D(E_F): 0.048 states/eV/f.u.

---

6.
The following is a PBE calculation of an optimized crystal structure of BH2Pt2, from the Alexandria database.

Cell and atoms, written as POSCAR:
```
BH2Pt2
1.0
5.602 0.000 0.000
0.000 5.602 0.000
0.000 0.000 3.510
B H Pt
2 4 4
Direct
0.000 0.000 0.000 B
0.500 0.500 0.000 B
0.162 0.338 0.500 H
0.338 0.838 0.500 H
0.662 0.162 0.500 H
0.838 0.662 0.500 H
0.169 0.331 0.000 Pt
0.331 0.831 0.000 Pt
0.669 0.169 0.000 Pt
0.831 0.669 0.000 Pt
```

Computed properties:
* symmetry: P4/mbm
* D(E_F): 0.627 states/eV/f.u.

---

7.
The following is a PBE calculation of an optimized crystal structure of B2HPt, from the Alexandria database.

Cell and atoms, written as POSCAR:
```
B2HPt
1.0
3.523 0.000 0.000
0.000 3.523 0.000
0.000 0.000 10.843
B H Pt
8 4 4
Direct
0.061 0.750 0.125 B
0.250 0.061 0.875 B
0.250 0.439 0.375 B
0.439 0.750 0.625 B
0.561 0.250 0.625 B
0.750 0.561 0.375 B
0.750 0.939 0.875 B
0.939 0.250 0.125 B
0.000 0.000 0.000 H
0.000 0.500 0.250 H
0.500 0.000 0.750 H
0.500 0.500 0.500 H
0.000 0.000 0.500 Pt
0.000 0.500 0.750 Pt
0.500 0.000 0.250 Pt
0.500 0.500 0.000 Pt
```

Computed properties:
* symmetry: I-42d
* D(E_F): 1.077 states/eV/f.u.

---

8.
The following is a PBE calculation of an optimized crystal structure of BH2Pt2, from the Alexandria database.

Cell and atoms, written as POSCAR:
```
BH2Pt2
1.0
2.825 0.000 0.000
0.000 2.825 0.000
0.000 0.000 11.304
B H Pt
2 4 4
Direct
0.000 0.000 0.000 B
0.500 0.500 0.500 B
0.000 0.500 0.250 H
0.000 0.500 0.750 H
0.500 0.000 0.250 H
0.500 0.000 0.750 H
0.000 0.000 0.379 Pt
0.000 0.000 0.621 Pt
0.500 0.500 0.121 Pt
0.500 0.500 0.879 Pt
```

Computed properties:
* symmetry: I4/mmm
* D(E_F): 0.738 states/eV/f.u.

---

9.
The following is a PBE calculation of an optimized crystal structure of BH2Pt5, from the Alexandria database.

Cell and atoms, written as POSCAR:
```
BH2Pt5
1.0
5.578 0.000 0.000
0.103 5.680 0.000
0.664 1.708 6.180
B H Pt
2 4 10
Direct
0.182 0.323 0.172 B
0.818 0.677 0.828 B
0.120 0.851 0.073 H
0.192 0.497 0.533 H
0.808 0.503 0.467 H
0.880 0.149 0.927 H
0.007 0.237 0.501 Pt
0.202 0.650 0.898 Pt
0.216 0.152 0.900 Pt
0.409 0.544 0.301 Pt
0.410 0.037 0.309 Pt
0.590 0.963 0.691 Pt
0.591 0.456 0.699 Pt
0.784 0.848 0.100 Pt
0.798 0.350 0.102 Pt
0.993 0.763 0.499 Pt
```

Computed properties:
* symmetry: P-1
* D(E_F): 2.945 states/eV/f.u.

---

10.
The following is a PBE calculation of an optimized crystal structure of BHPt, from the Alexandria database.

Cell and atoms, written as POSCAR:
```
BHPt
1.0
3.196 0.000 0.000
0.000 3.196 0.000
0.000 0.000 5.404
B H Pt
2 2 2
Direct
0.000 0.000 0.000 B
0.500 0.500 0.500 B
0.000 0.000 0.753 H
0.500 0.500 0.253 H
0.000 0.000 0.407 Pt
0.500 0.500 0.907 Pt
```

Computed properties:
* symmetry: I4mm
* D(E_F): 0.535 states/eV/f.u.

---

11.
The following is a PBE calculation of an optimized crystal structure of BH3Pt, from the Alexandria database.

Cell and atoms, written as POSCAR:
```
BH3Pt
1.0
3.524 0.000 0.000
0.000 3.524 0.000
0.000 0.000 3.524
B H Pt
1 3 1
Direct
0.000 0.000 0.000 B
0.000 0.500 0.500 H
0.500 0.000 0.500 H
0.500 0.500 0.000 H
0.500 0.500 0.500 Pt
```

Computed properties:
* symmetry: Pm-3m
* D(E_F): 0.808 states/eV/f.u.

---

12.
The following is a PBE calculation of an optimized crystal structure of B3HPt, from the Alexandria database.

Cell and atoms, written as POSCAR:
```
B3HPt
1.0
4.096 0.000 0.000
0.000 4.096 0.000
0.000 0.000 4.096
B H Pt
3 1 1
Direct
0.000 0.000 0.500 B
0.000 0.500 0.000 B
0.500 0.000 0.000 B
0.500 0.500 0.500 H
0.000 0.000 0.000 Pt
```

Computed properties:
* symmetry: Pm-3m
* D(E_F): 0.000 states/eV/f.u.

---

13.
The following is a PBE calculation of an optimized crystal structure of Pu2BHPt6, from the Alexandria database.

Cell and atoms, written as POSCAR:
```
Pu2BHPt6
1.0
6.395 0.000 0.000
0.000 8.533 0.000
0.000 0.000 5.843
Pu B H Pt
4 2 2 12
Direct
0.250 0.003 0.231 Pu
0.250 0.497 0.231 Pu
0.750 0.503 0.769 Pu
0.750 0.997 0.769 Pu
0.250 0.250 0.819 B
0.750 0.750 0.181 B
0.250 0.750 0.455 H
0.750 0.250 0.545 H
0.024 0.750 0.968 Pt
0.025 0.250 0.525 Pt
0.250 0.508 0.732 Pt
0.250 0.992 0.732 Pt
0.475 0.250 0.525 Pt
0.476 0.750 0.968 Pt
0.524 0.250 0.032 Pt
0.525 0.750 0.475 Pt
0.750 0.008 0.268 Pt
0.750 0.492 0.268 Pt
0.975 0.750 0.475 Pt
0.976 0.250 0.032 Pt
```

Computed properties:
* symmetry: Pmmn
* D(E_F): 31.124 states/eV/f.u.

---

14.
The following is a PBE calculation of an optimized crystal structure of BH2RuPt, from the Alexandria database.

Cell and atoms, written as POSCAR:
```
BH2RuPt
1.0
3.143 0.000 0.000
0.000 3.143 0.000
0.000 0.000 5.549
B H Ru Pt
1 2 1 1
Direct
0.000 0.000 0.000 B
0.000 0.500 0.500 H
0.500 0.000 0.500 H
0.500 0.500 0.000 Ru
0.500 0.500 0.500 Pt
```

Computed properties:
* symmetry: P4/mmm
* D(E_F): 2.273 states/eV/f.u.

---

15.
The following is a PBE calculation of an optimized crystal structure of BHRuPt2, from the Alexandria database.

Cell and atoms, written as POSCAR:
```
BHRuPt2
1.0
4.099 0.000 0.000
0.000 4.099 0.000
0.000 0.000 4.105
B H Ru Pt
1 1 1 2
Direct
0.000 0.000 0.000 B
0.500 0.500 0.500 H
0.000 0.000 0.500 Ru
0.000 0.500 0.000 Pt
0.500 0.000 0.000 Pt
```

Computed properties:
* symmetry: P4/mmm
* D(E_F): 4.122 states/eV/f.u.

---

16.
The following is a PBE calculation of an optimized crystal structure of B2HPtSe, from the Alexandria database.

Cell and atoms, written as POSCAR:
```
B2HPtSe
1.0
4.001 0.000 0.000
0.000 4.001 0.000
0.000 0.000 4.905
B H Pt Se
2 1 1 1
Direct
0.000 0.500 0.000 B
0.500 0.000 0.000 B
0.000 0.000 0.500 H
0.500 0.500 0.500 Pt
0.500 0.500 0.000 Se
```

Computed properties:
* symmetry: P4/mmm
* D(E_F): 2.371 states/eV/f.u.

---

17.
The following is a PBE calculation of an optimized crystal structure of SmBHPt6, from the Alexandria database.

Cell and atoms, written as POSCAR:
```
SmBHPt6
1.0
-3.705 3.717 5.305
3.705 -3.717 5.305
3.705 3.717 -5.305
Sm B H Pt
2 2 2 12
Direct
0.401 0.151 0.250 Sm
0.599 0.849 0.750 Sm
0.000 0.000 0.500 B
0.000 0.500 0.000 B
0.000 0.500 0.500 H
0.500 0.500 0.000 H
0.096 0.419 0.262 Pt
0.096 0.833 0.677 Pt
0.103 0.853 0.250 Pt
0.303 0.553 0.750 Pt
0.344 0.167 0.762 Pt
0.344 0.581 0.177 Pt
0.656 0.419 0.823 Pt
0.656 0.833 0.238 Pt
0.697 0.447 0.250 Pt
0.897 0.147 0.750 Pt
0.904 0.167 0.323 Pt
0.904 0.581 0.738 Pt
```

Computed properties:
* symmetry: Imma
* D(E_F): 3.163 states/eV/f.u.

---

18.
The following is a PBE calculation of an optimized crystal structure of SnB2HPt, from the Alexandria database.

Cell and atoms, written as POSCAR:
```
SnB2HPt
1.0
4.420 0.000 0.000
0.000 4.420 0.000
0.000 0.000 5.181
Sn B H Pt
1 2 1 1
Direct
0.000 0.000 0.000 Sn
0.000 0.500 0.000 B
0.500 0.000 0.000 B
0.500 0.500 0.500 H
0.000 0.000 0.500 Pt
```

Computed properties:
* symmetry: P4/mmm
* D(E_F): 1.928 states/eV/f.u.

---

19.
The following is a PBE calculation of an optimized crystal structure of TaB2HPt, from the Alexandria database.

Cell and atoms, written as POSCAR:
```
TaB2HPt
1.0
4.374 0.000 0.000
0.000 4.374 0.000
0.000 0.000 4.954
Ta B H Pt
1 2 1 1
Direct
0.000 0.000 0.000 Ta
0.000 0.500 0.000 B
0.500 0.000 0.000 B
0.500 0.500 0.500 H
0.000 0.000 0.500 Pt
```

Computed properties:
* symmetry: P4/mmm
* D(E_F): 4.776 states/eV/f.u.

---

20.
The following is a PBE calculation of an optimized crystal structure of Tb2BHPt6, from the Alexandria database.

Cell and atoms, written as POSCAR:
```
Tb2BHPt6
1.0
5.827 0.000 0.000
-2.894 5.062 0.000
-2.870 -1.658 5.319
Tb B H Pt
2 1 1 6
Direct
0.000 0.000 0.000 Tb
0.034 0.517 0.558 Tb
0.525 0.262 0.787 B
0.703 0.849 0.555 H
0.011 0.006 0.495 Pt
0.032 0.516 0.048 Pt
0.485 0.480 0.495 Pt
0.486 0.003 0.496 Pt
0.529 0.516 0.046 Pt
0.530 0.014 0.046 Pt
```

Computed properties:
* symmetry: P1
* D(E_F): 2.026 states/eV/f.u.

---

Record order is preserved below.
Electronic total energy: -15.83, -111.92, -18.40, -17.20, -25.84, -25.70, -20.43, -23.52, -43.94, -14.56, -18.30, -22.96, -80.46, -26.53, -28.11, -16.09, -54.58, -15.79, -24.48, -63.83 eV per formula unit
Record order is preserved below.
M_tot: 0.0, 0.0, 0.4, 0.0, 0.0, 0.0, 0.0, 0.0, 0.0, 0.0, 0.0, 0.0, 20.4, 0.0, 1.5, 0.0, 0.0, 0.0, 0.6, 0.0 μB per cell